Computed, not measured: a relaxed LiZr2Si crystal at the GGA-PBE level of DFT.

```
LiZr2Si
1.0
3.654 0.000 0.000
0.000 3.654 0.000
0.000 0.000 5.784
Li Zr Si
1 2 1
Direct
0.000 0.000 0.000 Li
0.000 0.000 0.451 Zr
0.500 0.500 0.746 Zr
0.500 0.500 0.257 Si
```

Values from the calculation:
space-group type	P4mm (99)
uncorrected energy	-6.241	eV/atom
V	19.31	Å³ per atom
magnetic moment	0.000	μB/cell
ΔE_f (raw)	-0.53	eV/f.u.

Computed, not measured: a relaxed LiZr2Si crystal at the GGA-PBE level of DFT.

```
LiZr2Si
1.0
1.980 -2.252 0.000
1.980 2.252 0.000
0.000 0.000 9.004
Li Zr Si
1 2 1
Direct
0.000 0.000 0.000 Li
0.500 0.500 0.293 Zr
0.500 0.500 0.707 Zr
0.000 0.000 0.500 Si
```

Values from the calculation:
space-group type	Cmmm (65)
uncorrected energy	-6.269	eV/atom
V	20.07	Å³ per atom
magnetic moment	0.000	μB/cell
ΔE_f (raw)	-0.64	eV/f.u.

Computed, not measured: a relaxed LiZrSi crystal at the GGA-PBE level of DFT.

```
LiZrSi
1.0
4.198 0.000 0.000
-2.099 3.635 0.000
0.000 0.000 3.183
Li Zr Si
1 1 1
Direct
0.000 0.000 0.000 Li
0.667 0.333 0.501 Zr
0.333 0.667 0.002 Si
```

Values from the calculation:
space-group type	P3m1 (156)
uncorrected energy	-5.729	eV/atom
V	16.19	Å³ per atom
magnetic moment	0.000	μB/cell
ΔE_f (raw)	-1.30	eV/f.u.

Computed, not measured: a relaxed Li2ZrSi crystal at the GGA-PBE level of DFT.

```
Li2ZrSi
1.0
0.000 3.179 3.179
3.179 0.000 3.179
3.179 3.179 0.000
Li Zr Si
2 1 1
Direct
0.000 0.000 0.000 Li
0.250 0.250 0.250 Li
0.750 0.750 0.750 Zr
0.500 0.500 0.500 Si
```

Values from the calculation:
space-group type	F-43m (216)
uncorrected energy	-4.672	eV/atom
V	16.07	Å³ per atom
magnetic moment	0.000	μB/cell
ΔE_f (raw)	-0.89	eV/f.u.

Computed, not measured: a relaxed Li2ZrSi crystal at the GGA-PBE level of DFT.

```
Li2ZrSi
1.0
4.791 -1.484 0.000
4.791 1.484 0.000
-0.894 0.000 4.767
Li Zr Si
2 1 1
Direct
0.233 0.233 0.210 Li
0.767 0.767 0.790 Li
0.000 0.000 0.500 Zr
0.500 0.500 0.000 Si
```

Values from the calculation:
space-group type	C2/m (12)
uncorrected energy	-4.590	eV/atom
V	16.95	Å³ per atom
magnetic moment	0.000	μB/cell
ΔE_f (raw)	-0.56	eV/f.u.

Computed, not measured: a relaxed LiZrSi2 crystal at the GGA-PBE level of DFT.

```
LiZrSi2
1.0
2.813 0.000 0.000
0.000 4.768 0.000
0.000 0.000 4.910
Li Zr Si
1 1 2
Direct
0.000 0.000 0.000 Li
0.000 0.500 0.363 Zr
0.500 0.000 0.522 Si
0.500 0.500 0.864 Si
```

Values from the calculation:
space-group type	Pmm2 (25)
uncorrected energy	-5.572	eV/atom
V	16.46	Å³ per atom
distance to the lowest polymorph of the same formula	0.150	eV/atom
magnetic moment	0.000	μB/cell
ΔE_f (raw)	-0.98	eV/f.u.

Computed, not measured: a relaxed Li2Sm crystal at the GGA-PBE level of DFT.

```
Li2Sm
1.0
0.000 4.180 4.180
4.180 0.000 4.180
4.180 4.180 0.000
Li Sm
4 2
Direct
0.000 0.000 0.000 Li
0.000 0.000 0.500 Li
0.000 0.500 0.000 Li
0.500 0.000 0.000 Li
0.375 0.375 0.375 Sm
0.625 0.625 0.625 Sm
```

Values from the calculation:
space-group type	Fd-3m (227)
uncorrected energy	-2.742	eV/atom
V	24.35	Å³ per atom
distance to the lowest polymorph of the same formula	0.000	eV/atom
magnetic moment	0.000	μB/cell
energy of formation from the pure elements	0.3	eV per formula unit

Computed, not measured: a relaxed Li3Sm crystal at the GGA-PBE level of DFT.

```
Li3Sm
1.0
-1.701 2.726 5.114
1.701 -2.726 5.114
1.701 2.726 -5.114
Li Sm
3 1
Direct
0.000 0.000 0.000 Li
0.222 0.722 0.500 Li
0.778 0.278 0.500 Li
0.500 0.500 0.000 Sm
```

Values from the calculation:
space-group type	Immm (71)
uncorrected energy	-2.477	eV/atom
V	23.72	Å³ per atom
distance to the lowest polymorph of the same formula	0.099	eV/atom
magnetic moment	0.000	μB/cell
energy of formation from the pure elements	0.6	eV per formula unit